This record from the Alexandria database describes crystalline TlCrAg2O4 at its relaxed geometry. The functional is GGA+U.

Cell and atoms, written as extended XYZ:
```
8
Lattice="-2.869 2.999 3.770 2.869 -2.999 3.770 2.869 2.999 -3.770" Properties=species:S:1:pos:R:3 pbc="T T T"
Tl 0.000 0.000 0.000
Cr 0.000 0.000 3.770
Ag 2.869 0.000 1.576
Ag 0.000 2.999 2.194
O 0.994 -0.987 2.737
O 1.875 2.012 1.034
O 1.875 3.986 -1.034
O 0.994 0.987 4.804
```

Calculated values
Space group: I222
V (A^3/atom): 16.22
Density (g/cm3): 6.9
Energy (eV/atom): -5.186